[1]
KAs2Pd6: relaxed, PBE-GGA.

Calculated values
The calculation puts the total magnetization at 0.0 Bohr magnetons per cell. The value obtained for the formation energy is -0.2318 eV per atom. For the energy, the calculation gives -4.8489 eV per atom.

```
data_KAs2Pd6
_chemical_formula_sum 'K2 As4 Pd12'
_symmetry_space_group_name_H-M 'I m m m'
_symmetry_Int_Tables_number 71
_symmetry_space_group_name_Hall '-I 2 2'
_cell_length_a 4.0811
_cell_length_b 8.8201
_cell_length_c 9.7772
_cell_angle_alpha 90.00
_cell_angle_beta 90.00
_cell_angle_gamma 90.00
loop_
_atom_site_label
_atom_site_type_symbol
_atom_site_fract_x
_atom_site_fract_y
_atom_site_fract_z
_atom_site_occupancy
K1 K 0.0000 0.0000 0.0000 1
As1 As 0.0000 0.0000 0.3165 1
Pd1 Pd 0.0000 0.1892 0.5000 1
Pd2 Pd 0.0000 0.3377 0.2036 1
```

=====

[2]
BaNb3V: relaxed, PBE-GGA.

Calculated values
The distance to the lowest polymorph of the same formula is 782 kJ/mol of formula units. The calculation puts the total magnetization at 3.4 Bohr magnetons per cell. The value obtained for the formation energy is 2.6737 eV per atom. For the energy, the calculation gives -5.5764 eV per atom.

```
data_BaNb3V
_chemical_formula_sum 'Ba1 Nb3 V1'
_symmetry_space_group_name_H-M 'P m -3 m'
_symmetry_Int_Tables_number 221
_symmetry_space_group_name_Hall '-P 4 2 3'
_cell_length_a 5.0460
_cell_length_b 5.0460
_cell_length_c 5.0460
_cell_angle_alpha 90.00
_cell_angle_beta 90.00
_cell_angle_gamma 90.00
loop_
_atom_site_label
_atom_site_type_symbol
_atom_site_fract_x
_atom_site_fract_y
_atom_site_fract_z
_atom_site_occupancy
Ba1 Ba 0.0000 0.0000 0.0000 1
Nb1 Nb 0.0000 0.0000 0.5000 1
V1 V 0.5000 0.5000 0.5000 1
```

=====

[3]
TaCr2PdN: relaxed, PBE-GGA.

Calculated values
The calculation puts the total magnetization at 1.4 Bohr magnetons per cell. As for the uncorrected formation energy: -0.3473 eV/atom. For the energy, the calculation gives -9.2708 eV per atom.

```
data_TaCr2PdN
_chemical_formula_sum 'Ta1 Cr2 Pd1 N1'
_symmetry_space_group_name_H-M 'P 4/m m m'
_symmetry_Int_Tables_number 123
_symmetry_space_group_name_Hall '-P 4 2'
_cell_length_a 3.8781
_cell_length_b 3.8781
_cell_length_c 4.2054
_cell_angle_alpha 90.00
_cell_angle_beta 90.00
_cell_angle_gamma 90.00
loop_
_atom_site_label
_atom_site_type_symbol
_atom_site_fract_x
_atom_site_fract_y
_atom_site_fract_z
_atom_site_occupancy
Ta1 Ta 0.0000 0.0000 0.0000 1
Cr1 Cr 0.0000 0.5000 0.5000 1
Pd1 Pd 0.5000 0.5000 0.0000 1
N1 N 0.0000 0.0000 0.5000 1
```